86
Lattice="6.6634 0.0001 0.0000 -0.8354 6.6108 0.0000 0.0000 0.0000 24.0079" Properties=species:S:1:pos:R:3 comment="PBEsol Cd5Fe2P8O28, relaxed" e_form_raw_mev_per_atom=-1899 spacegroup="No. 20" pbc="T T T"
Cd 5.3528 6.0719 0.0000
Cd 3.5839 6.3475 20.8150
Cd 1.3689 4.6676 6.0020
Cd 4.4591 1.9433 18.0060
Cd 5.8480 4.3515 3.1929
Cd 0.4752 0.5390 12.0040
Cd 2.2441 0.2634 8.8110
Cd 1.8029 2.0451 0.0000
Cd 4.0251 4.5659 12.0040
Cd -0.0200 2.2594 15.1969
O 5.9485 3.8068 21.2470
O -0.0349 2.0454 17.4495
O 1.2645 3.2461 19.2690
O 3.2818 5.8956 23.2881
O 5.4376 3.9951 0.7199
O 5.0841 5.9097 16.4967
O 4.6784 4.0740 18.2073
O 2.1800 4.5815 1.2234
O 1.2889 5.9638 20.9130
O 0.0112 0.2096 14.3066
O 5.6214 6.5735 21.7053
O 4.5391 0.6471 8.9090
O 0.6024 0.8259 19.5152
O 0.9132 6.3851 23.9472
O 3.0619 1.6615 4.7390
O 1.9683 4.6197 12.9994
O 2.5462 0.7153 11.2841
O 5.8629 4.5655 5.4456
O 1.4916 4.0789 23.0126
O 2.0336 0.2218 6.5584
O 4.2307 4.8338 9.6300
O 3.7944 6.3891 18.5624
O 5.2256 5.7850 7.5113
O 0.2066 0.0374 9.7013
O 4.9148 0.2258 11.9432
O 3.6480 2.0294 13.2274
O 3.0309 6.3789 2.7610
O 4.2652 4.8034 14.3779
O 2.3728 1.4586 17.8046
O 5.8168 6.4013 2.3026
O 1.5973 1.7771 21.6340
O 0.0729 4.5845 15.0989
O 3.4048 4.1315 20.9391
O 0.7439 0.7012 4.4927
O 2.1560 2.7150 15.0728
O 0.3904 2.6158 12.7238
O 4.4591 1.9073 20.4080
O 4.5635 3.3648 7.2650
O 2.4232 2.4794 8.9351
O 4.4949 1.9478 15.6038
O 3.4552 5.1523 5.8006
O 6.2202 1.7066 0.0608
O 4.3364 2.5320 11.0086
O 3.6720 3.8959 3.0689
O 1.3332 4.6631 3.5999
O 4.2720 2.7372 22.7845
O 1.5628 1.8075 2.3740
O 1.1496 2.5369 6.2033
O 5.7551 2.0264 3.0949
O 2.7661 4.9494 16.7429
O 1.5560 3.8737 10.7806
O 1.3689 4.7036 8.4041
O -0.3922 4.9043 12.0648
O 2.7971 0.2320 14.7649
O -0.1205 2.8041 9.2430
O 3.8597 1.9912 0.9954
P 3.2551 1.6867 14.7694
P 1.2653 3.4409 9.2386
P 4.0359 5.2623 17.5680
P 3.8453 1.2994 11.8101
P 1.1133 1.9470 18.4439
P 0.8070 3.9779 12.1979
P 1.0467 0.4741 21.0079
P 1.7921 1.3486 5.5641
P 4.5627 3.1700 21.2425
P 5.0210 2.6330 0.1939
P 5.4889 5.5130 15.0040
P 0.3391 1.0979 3.0000
P 4.7147 4.6639 6.4399
P 4.7813 6.1368 9.0040
P 2.5729 4.9242 2.7654
P 1.9827 5.3115 23.8140
Fe 2.1600 4.9112 14.9827
Fe 1.2264 3.8522 21.0292
Fe 4.6016 2.7587 9.0253
Fe 3.6680 1.6998 2.9787